# 1
Below is crystalline NbZn4Co at its relaxed geometry, with properties calculated at the PBE level.

Values from the calculation:
Energy relative to the elements ... -34 meV/atom
Fermi-level density of states ... 6.8 states/eV per cell
Spin magnetization ... 0.00 μB/atom
Crystal system ... monoclinic

```
12
Lattice="6.117 -0.416 -2.646 -0.448 4.930 -1.810 -2.817 -0.421 7.225" Properties=species:S:1:pos:R:3 pbc="T T T"
Zn 0.602 0.271 4.339
Zn 2.469 1.414 -0.685
Zn -0.337 3.709 -1.362
Zn 1.766 0.843 1.859
Zn 2.251 3.822 -1.569
Zn -0.111 1.221 -0.448
Zn 1.086 3.250 0.910
Zn 0.383 2.679 3.455
Co -1.852 1.442 4.388
Co 4.704 2.651 -1.618
Nb 5.024 0.283 -0.472
Nb -2.172 3.810 3.241
```

# 2
Below is crystalline CdSn2IrI at its relaxed geometry, with properties calculated at the PBE level.

Values from the calculation:
Fermi-level density of states ... 1.1 states/eV per cell
Formation energy from raw total energies ... -0.166 eV per atom
Spin magnetization ... 0.00 μB/atom
Crystal system ... tetragonal

```
5
Lattice="5.145 0.000 0.000 0.000 5.145 0.000 0.000 0.000 5.422" Properties=species:S:1:pos:R:3 pbc="T T T"
I 2.573 2.573 2.711
Ir 0.000 0.000 0.000
Cd 0.000 0.000 2.711
Sn 0.000 2.573 0.000
Sn 2.573 0.000 0.000
```

# 3
Below is crystalline LiBO2F at its relaxed geometry, with properties calculated at the PBE level.

Values from the calculation:
Fermi-level density of states ... 3.4 states/eV per cell
Formation energy from raw total energies ... 0.523 eV per atom
Spin magnetization ... 0.60 μB/atom
Crystal system ... tetragonal

```
5
Lattice="3.761 0.000 0.000 0.000 3.761 0.000 0.000 0.000 3.656" Properties=species:S:1:pos:R:3 pbc="T T T"
B 1.880 1.880 1.828
F 0.000 0.000 1.828
Li 0.000 0.000 0.000
O 0.000 1.880 0.000
O 1.880 0.000 0.000
```